Entry 1:
8
Lattice="4.087 0.000 0.000 0.000 7.182 0.161 0.000 -2.473 6.690" Properties=species:S:1:pos:R:3 comment="Ce2ErPaSe4 (PBE, relaxed)" e_form_raw_ev_per_fu=-13.06 total_energy_ev_per_atom=-6.616 dos_ef_per_ev_fu=15.72 space_group="P2/m, No. 10" pbc="T T T"
Ce 2.044 -1.236 3.345
Ce 0.000 2.355 3.426
Er 0.000 0.000 0.000
Pa 2.044 3.591 0.080
Se 2.044 1.152 1.627
Se 2.044 3.557 5.224
Se 0.000 -0.092 5.120
Se 0.000 4.801 1.731



Entry 2:
5
Lattice="4.783 0.000 0.000 0.000 4.783 0.000 0.000 0.000 4.783" Properties=species:S:1:pos:R:3 comment="LaTi4 (PBE, relaxed)" total_energy_ev_per_atom=-6.037 dos_ef_per_ev_fu=8.08 space_group="Pm-3m, No. 221" delta_e_f_ev_per_fu=6.3 pbc="T T T"
Ti 0.000 0.000 0.000
Ti 2.391 0.000 2.391
Ti 0.000 2.391 2.391
Ti 2.391 2.391 0.000
La 2.391 2.391 2.391



Entry 3:
5
Lattice="-2.938 3.741 0.823 -3.828 -2.908 -0.443 0.170 -1.027 5.273" Properties=species:S:1:pos:R:3 comment="TlInTcGe2 (PBE, relaxed)" total_energy_ev_per_atom=-4.792 dos_ef_per_ev_fu=2.88 space_group="P4/mmm, No. 123" delta_e_f_ev_per_fu=0.7 pbc="T T T"
Tl -3.298 -0.097 2.827
Ge -1.914 -1.454 -0.221
Ge -1.469 1.871 0.412
Tc 0.000 0.000 0.000
In 0.085 -0.514 2.637



Entry 4:
5
Lattice="3.854 0.000 0.000 0.000 3.854 0.000 0.000 0.000 5.389" Properties=species:S:1:pos:R:3 comment="CuWSeN2 (PBE, relaxed)" e_form_raw_ev_per_fu=2.15 total_energy_ev_per_atom=-7.007 de_polymorph_ev_per_fu=0.00 dos_ef_per_ev_fu=3.19 space_group="P4/mmm, No. 123" pbc="T T T"
Cu 1.927 1.927 2.695
Se 0.000 0.000 2.695
W 0.000 0.000 0.000
N 0.000 1.927 0.000
N 1.927 0.000 0.000



Entry 5:
10
Lattice="9.504 0.000 0.000 0.000 9.504 0.000 0.000 0.000 4.460" Properties=species:S:1:pos:R:3 comment="CsK2Cu2 (PBE, relaxed)" total_energy_ev_per_atom=-1.852 dos_ef_per_ev_fu=3.01 space_group="P4/mbm, No. 127" delta_e_f_ev_per_fu=2.0 pbc="T T T"
Cs 0.000 0.000 0.000
Cs 4.752 4.752 0.000
K 1.388 6.140 2.230
K 6.140 8.115 2.230
K 8.115 3.364 2.230
K 3.364 1.388 2.230
Cu 3.458 8.210 0.000
Cu 8.210 6.046 0.000
Cu 6.046 1.294 0.000
Cu 1.294 3.458 0.000



Entry 6:
4
Lattice="4.977 0.000 0.000 2.489 4.311 0.000 2.489 1.437 4.064" Properties=species:S:1:pos:R:3 comment="CeThOs2 (PBE, relaxed)" total_energy_ev_per_atom=-9.052 de_polymorph_ev_per_fu=0.00 dos_ef_per_ev_fu=3.15 space_group="Fm-3m, No. 225" delta_e_f_ev_per_fu=-0.4 pbc="T T T"
Os 2.489 1.437 1.016
Os 7.466 4.311 3.048
Ce 4.977 2.874 2.032
Th 0.000 0.000 0.000



Entry 7:
4
Lattice="3.561 0.000 0.000 1.780 3.084 0.000 1.780 1.028 11.410" Properties=species:S:1:pos:R:3 comment="La2TmAu (PBE, relaxed)" total_energy_ev_per_atom=-4.434 de_polymorph_ev_per_fu=1.24 dos_ef_per_ev_fu=5.58 space_group="R-3m, No. 166" delta_e_f_ev_per_fu=-0.1 pbc="T T T"
Tm 0.000 0.000 0.000
Au 3.561 2.056 5.705
La 1.780 1.028 8.083
La 5.341 3.084 3.326



Entry 8:
3
Lattice="4.460 0.000 0.000 2.230 3.862 0.000 2.230 1.287 3.642" Properties=species:S:1:pos:R:3 comment="BeCdSb (PBE, relaxed)" e_form_raw_ev_per_fu=0.80 total_energy_ev_per_atom=-2.653 de_polymorph_ev_per_fu=0.23 dos_ef_per_ev_fu=2.23 space_group="F-43m, No. 216" pbc="T T T"
Sb 4.460 2.575 1.821
Be 6.690 3.862 2.731
Cd 0.000 0.000 0.000



Entry 9:
11
Lattice="-4.169 3.411 -1.137 -3.569 -3.715 1.941 4.923 5.492 11.757" Properties=species:S:1:pos:R:3 comment="Ba2Ca4Bi3Br2 (PBE, relaxed)" e_form_raw_ev_per_fu=-11.67 total_energy_ev_per_atom=-3.501 dos_ef_per_ev_fu=5.25 space_group="I4/mmm, No. 139" pbc="T T T"
Ba 0.631 3.195 7.274
Ba -3.446 1.993 5.287
Ca -0.898 2.633 11.195
Ca -1.198 6.196 9.656
Ca -1.617 -1.008 2.905
Ca -1.917 2.555 1.366
Bi 0.000 0.000 0.000
Bi 0.343 1.739 3.959
Bi -3.158 3.449 8.601
Br 0.909 4.606 10.487
Br -3.724 0.582 2.074



Entry 10:
6
Lattice="0.456 4.346 0.458 -1.595 -2.403 3.315 4.905 -0.709 1.847" Properties=species:S:1:pos:R:3 comment="Li2Si (PBE, relaxed)" e_form_raw_ev_per_fu=-0.20 total_energy_ev_per_atom=-3.149 dos_ef_per_ev_fu=0.99 space_group="P6_3/mmc, No. 194" pbc="T T T"
Li 0.000 0.000 0.000
Li 2.453 -0.354 0.924
Li 2.767 -0.685 3.748
Li 0.998 1.919 1.872
Si 0.315 -0.330 2.824
Si 3.451 1.565 2.795



Entry 11:
4
Lattice="3.430 0.000 0.000 0.000 4.612 0.000 0.000 0.000 4.612" Properties=species:S:1:pos:R:3 comment="TbInRu2 (PBE, relaxed)" total_energy_ev_per_atom=-6.642 dos_ef_per_ev_fu=5.95 space_group="P4/mmm, No. 123" delta_e_f_ev_per_fu=-0.6 pbc="T T T"
Ru 0.000 0.000 2.306
Ru 0.000 2.306 0.000
Tb 1.715 2.306 2.306
In 1.715 0.000 0.000